Te2Mo2WSe2S2, relaxed, DFT PBE; ΔE_f (raw) = -493 meV per atom; energy = -60.56 eV per cell; energy above the lowest structure with this stoichiometry = 0.44 eV/f.u.; space group = No. 156; calculated volume = 255 Å³ per cell
1.0
3.3503 0.0000 0.0000
-1.6752 2.9015 0.0000
0.0000 0.0000 26.2821
Te Mo W Se S
2 2 1 2 2
Cartesian
0.0000 0.0000 0.0000
0.0000 0.0000 3.8151
0.0000 0.0000 9.3129
0.0000 0.0000 20.8540
0.0000 1.9343 1.9080
0.0000 1.9343 7.6480
0.0000 1.9343 10.9771
0.0000 1.9343 19.3396
0.0000 1.9343 22.3688



NaLi2Cd2, relaxed, DFT PBE; energy = -7.66 eV per cell; energy of formation from the pure elements = -0.136 eV/atom; energy above the lowest structure with this stoichiometry = 0.06 eV/f.u.; space group = No. 12; calculated volume = 106 Å³ per cell
1.0
7.3528 -2.4037 0.0000
7.3528 2.4037 0.0000
-0.0319 0.0000 2.9863
Na Li Cd
1 2 2
Cartesian
0.0000 0.0000 0.0000
2.9614 0.0000 2.9673
11.7123 0.0000 0.0190
5.5786 0.0000 1.5010
9.0951 0.0000 1.4853



AlZnPt2, relaxed, DFT PBE; energy = -18.97 eV per cell; energy of formation from the pure elements = -0.468 eV/atom; space group = No. 216; calculated volume = 61 Å³ per cell
1.0
0.0000 3.1185 3.1185
3.1185 0.0000 3.1185
3.1185 3.1185 0.0000
Al Zn Pt
1 1 2
Cartesian
0.0000 0.0000 0.0000
1.5593 1.5593 1.5593
3.1185 3.1185 3.1185
4.6778 4.6778 4.6778



RbAgPO2, relaxed, DFT PBE; ΔE_f (raw) = 1276 meV per atom; energy = -12.77 eV per cell; energy above the lowest structure with this stoichiometry = 4.49 eV/f.u.; space group = No. 123; calculated volume = 131 Å³ per cell
1.0
4.2610 0.0000 0.0000
0.0000 4.2610 0.0000
0.0000 0.0000 7.2205
Rb Ag P O
1 1 1 2
Cartesian
0.0000 0.0000 0.0000
2.1305 2.1305 3.6102
0.0000 0.0000 3.6102
0.0000 2.1305 0.0000
2.1305 0.0000 0.0000